# NaCoTeO6

A relaxed structure of NaCoTeO6 (PBE with a Hubbard U, Alexandria via LeMat-Bulk).

Output
total DFT energy (no corrections)	-5.301	eV per atom
crystal system	trigonal
volume	235	Å³ per cell

Cell lengths 5.064, 5.064, 10.571 Å; angles 90.00, 90.00, 120.00 degrees
Last column: magnetic moment on the atom in μB.
Sites, in units of the cell vectors:
Na 0.000 0.000 0.000  0.00
Na 0.000 0.000 0.500  0.00
Co 0.667 0.333 0.250  1.60
Co 0.333 0.667 0.750  1.60
Te 0.333 0.667 0.250  0.00
Te 0.667 0.333 0.750  0.00
O 0.623 0.610 0.147  0.05
O 0.987 0.377 0.147  0.05
O 0.377 0.987 0.647  0.05
O 0.013 0.623 0.853  0.05
O 0.390 0.377 0.353  0.05
O 0.987 0.610 0.353  0.05
O 0.610 0.987 0.853  0.05
O 0.623 0.013 0.353  0.05
O 0.013 0.390 0.647  0.05
O 0.390 0.013 0.147  0.05
O 0.610 0.623 0.647  0.05
O 0.377 0.390 0.853  0.05